Record 1
Material: Cd3SiTc
Method: DFT, GGA-PBE
State: relaxed

As for the formation energy (no corrections): 1.153 eV per atom. As for the density: 6.2 g/cm3. The value obtained for the total energy is -12.767 eV for the cell shown. The distance to the lowest polymorph of the same formula comes out at 0.000 eV/atom.

It has space group Pm-3m (No. 221), with a = 4.9960 Å, b = 4.9960 Å, c = 4.9960 Å, α = 90.00°, β = 90.00° and γ = 90.00°. Symmetry generates all atoms from Cd at (0.0000, 0.0000, 0.5000), Si at (0.0000, 0.0000, 0.0000) and Tc at (0.5000, 0.5000, 0.5000).


Record 2
Material: TaGaP2Cl
Method: DFT, GGA-PBE
State: relaxed

As for the formation energy (no corrections): 0.973 eV per atom. As for the density: 5.9 g/cm3. The value obtained for the total energy is -22.678 eV for the cell shown. The distance to the lowest polymorph of the same formula comes out at 0.996 eV/atom.

It has space group P4/mmm (No. 123), with a = 4.6323 Å, b = 4.6323 Å, c = 4.5438 Å, α = 90.00°, β = 90.00° and γ = 90.00°. Symmetry generates all atoms from Ta at (0.0000, 0.0000, 0.0000), Ga at (0.5000, 0.5000, 0.5000), P at (0.0000, 0.5000, 0.5000) and Cl at (0.5000, 0.5000, 0.0000).


Record 3
Material: KScBi2
Method: DFT, GGA-PBE
State: relaxed

The formation energy is -225 meV/atom. As for the density: 4.4 g/cm3. The value obtained for the total energy is -64.369 eV for the cell shown. The distance to the lowest polymorph of the same formula comes out at 0.217 eV/atom.

It has space group I-42d (No. 122), with a = 6.3945 Å, b = 6.3945 Å, c = 18.3759 Å, α = 90.00°, β = 90.00° and γ = 90.00°. Symmetry generates all atoms from K at (0.0000, 0.0000, 0.0000), Sc at (0.0000, 0.0000, 0.5000) and Bi at (0.0815, 0.2500, 0.6250).


Record 4
Material: AgI
Method: DFT, GGA-PBE
State: relaxed

As for the formation energy (no corrections): -0.257 eV per atom. As for the density: 5.4 g/cm3. The value obtained for the total energy is -9.831 eV for the cell shown.

It has space group P6_3mc (No. 186), with a = 4.6809 Å, b = 4.6809 Å, c = 7.6619 Å, α = 90.00°, β = 90.00° and γ = 120.00°. Symmetry generates all atoms from Ag at (0.3333, 0.6667, 0.0000) and I at (0.3333, 0.6667, 0.6253).


Record 5
Material: EuDyLu2
Method: DFT, GGA-PBE
State: relaxed

The formation energy is 160 meV/atom. As for the density: 8.6 g/cm3. The value obtained for the total energy is -93.110 eV for the cell shown. The distance to the lowest polymorph of the same formula comes out at 0.083 eV/atom.

It has space group Fm-3m (No. 225), with a = 8.0004 Å, b = 8.0004 Å, c = 8.0004 Å, α = 90.00°, β = 90.00° and γ = 90.00°. Symmetry generates all atoms from Eu at (0.0000, 0.0000, 0.0000), Dy at (0.0000, 0.0000, 0.5000) and Lu at (0.2500, 0.2500, 0.2500).


Record 6
Material: SrMo2Pt
Method: DFT, GGA-PBE
State: relaxed

The formation energy is 614 meV/atom. As for the density: 10.5 g/cm3. The value obtained for the total energy is -53.856 eV for the cell shown. The distance to the lowest polymorph of the same formula comes out at 0.404 eV/atom.

It has space group C2/m (No. 12), with a = 5.5268 Å, b = 10.2875 Å, c = 2.7758 Å, α = 90.00°, β = 108.06° and γ = 90.00°. Symmetry generates all atoms from Sr at (0.0000, 0.0000, 0.0000), Mo at (0.2500, 0.2500, 0.5000) and Pt at (0.0000, 0.5000, 0.0000).


Record 7
Material: Ru3AuI
Method: DFT, GGA-PBE
State: relaxed

As for the formation energy (no corrections): 1.805 eV per atom. As for the density: 9.4 g/cm3. The value obtained for the total energy is -23.629 eV for the cell shown. The distance to the lowest polymorph of the same formula comes out at 0.000 eV/atom.

It has space group Pm-3m (No. 221), with a = 4.8078 Å, b = 4.8078 Å, c = 4.8078 Å, α = 90.00°, β = 90.00° and γ = 90.00°. Symmetry generates all atoms from Ru at (0.0000, 0.0000, 0.5000), Au at (0.5000, 0.5000, 0.5000) and I at (0.0000, 0.0000, 0.0000).


Record 8
Material: SrCa2W
Method: DFT, GGA-PBE
State: relaxed

The formation energy is 841 meV/atom. As for the density: 4.7 g/cm3. The value obtained for the total energy is -30.549 eV for the cell shown. The distance to the lowest polymorph of the same formula comes out at 0.000 eV/atom.

It has space group Cmm2 (No. 35), with a = 4.6376 Å, b = 4.6490 Å, c = 11.4123 Å, α = 90.00°, β = 90.00° and γ = 90.00°. Symmetry generates all atoms from Sr at (0.0000, 0.0000, 0.0000), Ca at (0.0000, 0.0000, 0.6006), Ca at (0.0000, 0.5000, 0.3083) and W at (0.0000, 0.5000, 0.7917).


Record 9
Material: CuTe2Au
Method: DFT, GGA-PBE
State: relaxed

As for the formation energy (no corrections): 0.097 eV per atom. As for the density: 9.2 g/cm3. The value obtained for the total energy is -39.812 eV for the cell shown.

It has space group R3m (No. 160, hexagonal axes), with a = 4.1244 Å, b = 4.1244 Å, c = 18.9317 Å, α = 90.00°, β = 90.00° and γ = 120.00°. Symmetry generates all atoms from Cu at (0.0000, 0.0000, 0.0000), Te at (0.0000, 0.0000, 0.4012), Te at (0.0000, 0.0000, 0.5880) and Au at (0.0000, 0.0000, 0.1601).


Record 10
Material: Sc2Pd2N
Method: DFT, GGA-PBE
State: relaxed

As for the formation energy (no corrections): 0.001 eV per atom. As for the density: 6.3 g/cm3. The value obtained for the total energy is -62.739 eV for the cell shown. The distance to the lowest polymorph of the same formula comes out at 0.000 eV/atom.

It has space group P4/mbm (No. 127), with a = 6.7031 Å, b = 6.7031 Å, c = 3.7059 Å, α = 90.00°, β = 90.00° and γ = 90.00°. Symmetry generates all atoms from Sc at (0.1743, 0.3257, 0.0000), Pd at (0.1381, 0.6381, 0.5000) and N at (0.0000, 0.0000, 0.5000).


Record 11
Material: Ba2CdSnAu6
Method: DFT, GGA-PBE
State: relaxed

The formation energy is -332 meV/atom. As for the density: 9.4 g/cm3. The value obtained for the total energy is -126.985 eV for the cell shown.

It has space group Fm-3m (No. 225), with a = 10.6132 Å, b = 10.6132 Å, c = 10.6132 Å, α = 90.00°, β = 90.00° and γ = 90.00°. Symmetry generates all atoms from Ba at (0.2500, 0.2500, 0.2500), Cd at (0.0000, 0.0000, 0.0000), Sn at (0.0000, 0.0000, 0.5000) and Au at (0.0000, 0.0000, 0.2497).


Record 12
Material: RbCrCd3
Method: DFT, GGA-PBE
State: relaxed

The formation energy is 1141 meV/atom. As for the density: 2.8 g/cm3. The value obtained for the total energy is -7.632 eV for the cell shown. The distance to the lowest polymorph of the same formula comes out at 0.838 eV/atom.

It has space group Pm-3m (No. 221), with a = 6.5625 Å, b = 6.5625 Å, c = 6.5625 Å, α = 90.00°, β = 90.00° and γ = 90.00°. Symmetry generates all atoms from Rb at (0.0000, 0.0000, 0.0000), Cr at (0.5000, 0.5000, 0.5000) and Cd at (0.0000, 0.0000, 0.5000).


Record 13
Material: LaPm10Pr4
Method: DFT, GGA-PBE
State: relaxed

The formation energy is 391 meV/atom. As for the density: 6.3 g/cm3. The value obtained for the total energy is -131.383 eV for the cell shown.

It has space group I4/m (No. 87), with a = 9.9211 Å, b = 9.9211 Å, c = 11.5131 Å, α = 90.00°, β = 90.00° and γ = 90.00°. Symmetry generates all atoms from La at (0.0000, 0.0000, 0.0000), Pm at (0.0000, 0.5000, 0.2500), Pm at (0.1215, 0.2244, 0.1672) and Pr at (0.0593, 0.3037, 0.5000).


Record 14
Material: Zr2CdCo
Method: DFT, GGA-PBE
State: relaxed

The formation energy is -19 meV/atom. As for the density: 7.0 g/cm3. The value obtained for the total energy is -75.580 eV for the cell shown.

It has space group R3m (No. 160, hexagonal axes), with a = 3.4424 Å, b = 3.4424 Å, c = 24.5182 Å, α = 90.00°, β = 90.00° and γ = 120.00°. Symmetry generates all atoms from Zr at (0.0000, 0.0000, 0.0000), Zr at (0.0000, 0.0000, 0.2059), Cd at (0.0000, 0.0000, 0.4357) and Co at (0.0000, 0.0000, 0.6028).